Record 1
# RbNaTl | Alexandria via LeMat-Bulk | PBE-GGA | optimized geometry
# distance to the lowest polymorph of the same formula	13	meV/atom
# total DFT energy (no corrections)	-9.51	eV per cell
# V	124.51	Å³/f.u.
# energy relative to the elements	-10	kJ/mol of formula units
data_RbNaTl
_cell_length_a 4.5910
_cell_length_b 7.0152
_cell_length_c 8.6438
_cell_angle_alpha 72.08
_cell_angle_beta 90.00
_cell_angle_gamma 71.07
_symmetry_space_group_name_H-M 'P -1'
_symmetry_Int_Tables_number 2
loop_
_symmetry_equiv_pos_as_xyz
'x,y,z'
'-x,-y,-z'
loop_
_atom_site_label
_atom_site_type_symbol
_atom_site_fract_x
_atom_site_fract_y
_atom_site_fract_z
Rb1 Rb 0.1515 0.1988 0.0997
Na1 Na 0.1421 0.2149 0.5446
Tl1 Tl 0.4808 0.5392 0.3020

---

Record 2
# RbNaTl2 | Alexandria via LeMat-Bulk | PBE-GGA | optimized geometry
# distance to the lowest polymorph of the same formula	34	meV/atom
# total DFT energy (no corrections)	-7.17	eV per cell
# V	146.27	Å³/f.u.
# energy relative to the elements	-15	kJ/mol of formula units
data_RbNaTl2
_cell_length_a 4.1310
_cell_length_b 4.1310
_cell_length_c 8.5708
_cell_angle_alpha 90.00
_cell_angle_beta 90.00
_cell_angle_gamma 90.00
_symmetry_space_group_name_H-M 'P 4/m m m'
_symmetry_Int_Tables_number 123
_symmetry_space_group_name_Hall '-P 4 2'
loop_
_atom_site_label
_atom_site_type_symbol
_atom_site_fract_x
_atom_site_fract_y
_atom_site_fract_z
Rb1 Rb 0.0000 0.0000 0.0000
Na1 Na 0.0000 0.0000 0.5000
Tl1 Tl 0.5000 0.5000 0.3099

---

Which formula does entry 2 have? RbNaTl2